DFT (PBE) results for KYAg3 after structural relaxation.

Output
D(E_F) = 2.507 states/eV per cell
DFT formation energy = 852 meV per atom
offset from the most stable computed form = 0.426 eV per atom
size of the total moment = 0.00 μB/f.u.

a = 5.340 Å, b = 5.340 Å, c = 5.340 Å
α = 90.00°, β = 90.00°, γ = 90.00°
Space group Pm-3m (No. 221)
Asymmetric unit:
K (0.000, 0.000, 0.000) x1
Y (0.500, 0.500, 0.500) x1
Ag (0.000, 0.000, 0.500) x3